# 1
# InPCl

Crystalline InPCl at its relaxed geometry (PBE, Alexandria via LeMat-Bulk).

Summary:
Its uncorrected formation energy is -50 meV per atom. For the density of states at the Fermi level, the calculation gives 1.44 states/eV/cell. The value obtained for the total moment is 0.9 μB per formula unit. The total energy comes out at -0.2485 Ry per atom.

Geometry as POSCAR:
```
InPCl
1.0
2.1165 -3.6658 0.0000
2.1165 3.6658 0.0000
0.0000 0.0000 5.0717
Cl P In
1 1 1
Direct
0.0000 0.0000 0.0433
0.3333 0.6667 0.5501
0.6667 0.3333 0.4066
```



# 2
# Te3Pd6I

Crystalline Te3Pd6I at its relaxed geometry (PBE, Alexandria via LeMat-Bulk).

Summary:
Its uncorrected formation energy is -176 meV per atom. For the density of states at the Fermi level, the calculation gives 10.55 states/eV/cell. The value obtained for the total moment is 0.0 μB per formula unit. The total energy comes out at -0.3226 Ry per atom.

Geometry as POSCAR:
```
Te3Pd6I
1.0
-4.3604 3.4536 3.3125
-4.2368 -7.2552 1.9872
6.1250 2.3500 5.6124
Pd Te I
12 6 2
Direct
0.1493 0.9871 0.0129
0.7022 0.3572 0.3216
0.7022 0.6784 0.6428
0.2022 0.6428 0.6784
0.2714 0.0698 0.4995
0.7714 0.4995 0.0698
0.0816 0.7783 0.2217
0.5816 0.2217 0.7783
0.2714 0.5005 0.9302
0.7714 0.9302 0.5005
0.2022 0.3216 0.3572
0.6493 0.0129 0.9871
0.9191 0.0874 0.3020
0.4765 0.3950 0.6050
0.4191 0.9126 0.6980
0.4191 0.3020 0.0874
0.9191 0.6980 0.9126
0.9765 0.6050 0.3950
0.4927 0.7891 0.2109
0.9927 0.2109 0.7891
```